# 1
Material: CoIr5
Method: DFT, PBE-GGA
State: optimized geometry

Computed properties:
VASP energy in eV for the cell shown: -47.05
Calculated formation energy in meV per atom: 727.5

Unit cell a=5.0888 b=5.0888 c=4.4385 alpha=90.00 beta=90.00 gamma=120.00
With the nearest neighbours (Å) after each atom.
Space group P6/mmm (No. 191)
Unique sites:
Co 0.0000 0.0000 0.0000 [1 per cell]  6 Ir 2.94
Ir 0.0000 0.5000 0.5000 [3 per cell]  8 Ir 2.54-2.66
Ir 0.3333 0.6667 0.0000 [2 per cell]  9 Ir 2.66-2.94, 3 Co 2.94



# 2
Material: Pa2VGe2
Method: DFT, PBE-GGA
State: optimized geometry

Computed properties:
VASP energy in eV for the cell shown: -155.16
Calculated formation energy in meV per atom: -288.8

Unit cell a=4.6001 b=15.3988 c=5.8926 alpha=90.00 beta=90.00 gamma=90.00
With the nearest neighbours (Å) after each atom.
Space group Cmc2_1 (No. 36)
Unique sites:
Pa 0.0000 0.0031 0.0000 [4 per cell]  3 Pa 2.95-3.27, 6 Ge 2.96-3.14, 4 V 3.09-3.23
Pa 0.0000 0.1991 0.7853 [4 per cell]  6 Ge 2.94-3.00, 1 V 3.06, 1 Pa 3.27
V 0.0000 0.3971 0.7320 [4 per cell]  4 Ge 2.58-2.88
Ge 0.0000 0.1766 0.2802 [4 per cell]  2 V 2.58
Ge 0.0000 0.4237 0.2478 [4 per cell]  3 V 2.76-3.07, 6 Pa 2.96-2.99



# 3
Material: Mg2AlFe
Method: DFT, PBE-GGA
State: optimized geometry

Computed properties:
VASP energy in eV for the cell shown: -14.71
Calculated formation energy in meV per atom: 171.2

Unit cell a=2.7888 b=4.6645 c=5.1272 alpha=90.00 beta=98.34 gamma=90.00
With the nearest neighbours (Å) after each atom.
Space group P2/m (No. 10)
Unique sites:
Mg 0.2317 0.0000 0.2612 [2 per cell]  5 Mg 2.68-2.93, 2 Fe 2.75, 2 Al 2.84
Al 0.5000 0.5000 0.0000 [1 per cell]  2 Fe 2.73, 2 Al 2.79, 4 Mg 2.84
Fe 0.0000 0.5000 0.5000 [1 per cell]  2 Al 2.73, 4 Mg 2.75, 2 Fe 2.79



# 4
Material: SrTaTe
Method: DFT, PBE-GGA
State: optimized geometry

Computed properties:
Excess energy over the best structure of this formula in the dataset in meV per atom: 356.8
Formation energy without anion corrections in eV/atom: 0.019
VASP energy in eV for the cell shown: -33.24

Unit cell a=3.6548 b=3.6548 c=12.2632 alpha=90.00 beta=90.00 gamma=90.00
With the nearest neighbours (Å) after each atom.
Space group I4mm (No. 107)
Unique sites:
Sr 0.0000 0.0000 0.0000 [2 per cell]  5 Ta 3.50-3.77, 5 Te 3.55-3.65, 4 Sr 3.65
Ta 0.0000 0.0000 0.6929 [2 per cell]  4 Te 2.84
Te 0.0000 0.0000 0.2895 [2 per cell]  4 Ta 2.84



# 5
Material: Er2NbSi2Rh5
Method: DFT, PBE-GGA
State: optimized geometry

Computed properties:
Formation energy without anion corrections in eV/atom: -0.876
VASP energy in eV for the cell shown: -151.12

Unit cell a=9.6254 b=9.6254 c=3.5707 alpha=90.00 beta=90.00 gamma=90.00
With the nearest neighbours (Å) after each atom.
Space group P4/mbm (No. 127)
Unique sites:
Er 0.1741 0.3259 0.0000 [4 per cell]  3 Si 2.76-2.90, 6 Rh 2.97-3.07
Nb 0.0000 0.0000 0.0000 [2 per cell]  8 Rh 2.78
Si 0.1232 0.6232 0.0000 [4 per cell]  6 Rh 2.45-2.46
Rh 0.0000 0.5000 0.5000 [2 per cell]  4 Si 2.45
Rh 0.0685 0.7902 0.5000 [8 per cell]  2 Si 2.46



# 6
Material: Pr7HoIn4
Method: DFT, PBE-GGA
State: optimized geometry

Computed properties:
VASP energy in eV for the cell shown: -101.43
Calculated formation energy in meV per atom: -143.9

Unit cell a=14.8125 b=5.8871 c=10.8121 alpha=90.00 beta=123.47 gamma=90.00
With the nearest neighbours (Å) after each atom.
Space group C2/m (No. 12)
Unique sites:
Pr 0.0000 0.0000 0.0000 [2 per cell]  2 Ho 2.94, 4 In 3.08-3.22
Pr 0.0629 0.5000 0.3912 [4 per cell]  5 In 3.29-3.65, 2 Pr 3.39-3.54
Pr 0.2042 0.5000 0.8819 [4 per cell]  3 Pr 3.39-3.63, 4 In 3.47-3.57
Pr 0.2216 0.0000 0.6612 [4 per cell]  4 In 3.10-3.26
Ho 0.0000 0.5000 0.0000 [2 per cell]  2 Pr 2.94
In 0.0563 0.0000 0.7517 [4 per cell]  4 Pr 3.10-3.34, 1 In 3.10
In 0.1810 0.0000 0.3333 [4 per cell]  5 Pr 3.08-3.29, 1 In 3.10



# 7
Material: Rb3CaCd
Method: DFT, PBE-GGA
State: optimized geometry

Computed properties:
Excess energy over the best structure of this formula in the dataset in meV per atom: 0.0
VASP energy in eV for the cell shown: -4.64
Calculated formation energy in meV per atom: 235.5

Unit cell a=7.0551 b=7.0551 c=7.0551 alpha=90.00 beta=90.00 gamma=90.00
With the nearest neighbours (Å) after each atom.
Space group Pm-3m (No. 221)
Unique sites:
Rb 0.0000 0.0000 0.5000 [3 per cell]  2 Cd 3.53
Ca 0.5000 0.5000 0.5000 [1 per cell]  12 Rb 4.99
Cd 0.0000 0.0000 0.0000 [1 per cell]  6 Rb 3.53



# 8
Material: GaTeH
Method: DFT, PBE-GGA
State: optimized geometry

Computed properties:
Excess energy over the best structure of this formula in the dataset in meV per atom: 322.7
VASP energy in eV for the cell shown: -18.63

Unit cell a=4.3043 b=4.3043 c=6.3945 alpha=90.00 beta=90.00 gamma=90.00
With the nearest neighbours (Å) after each atom.
Space group I4mm (No. 107)
Unique sites:
Ga 0.0000 0.0000 0.0000 [2 per cell]  1 H 1.61
Te 0.0000 0.0000 0.4214 [2 per cell]  1 H 2.09
H 0.0000 0.0000 0.7485 [2 per cell]  1 Ga 1.61



# 9
Material: MgNiPb2
Method: DFT, PBE-GGA
State: optimized geometry

Computed properties:
VASP energy in eV for the cell shown: -53.96
Calculated formation energy in meV per atom: 326.0

Unit cell a=7.1788 b=7.1788 c=7.1788 alpha=90.00 beta=90.00 gamma=90.00
With the nearest neighbours (Å) after each atom.
Space group F-43m (No. 216)
Unique sites:
Mg 0.0000 0.0000 0.0000 [4 per cell]  4 Pb 3.11, 4 Ni 3.11
Ni 0.2500 0.2500 0.2500 [4 per cell]  4 Pb 3.11, 4 Mg 3.11
Pb 0.0000 0.0000 0.5000 [4 per cell]  4 Pb 3.11, 4 Ni 3.11
Pb 0.2500 0.2500 0.7500 [4 per cell]  4 Pb 3.11, 4 Mg 3.11



# 10
Material: LiGe2PbO6
Method: DFT, PBE-GGA
State: optimized geometry

Computed properties:
Formation energy without anion corrections in eV/atom: -1.534
VASP energy in eV for the cell shown: -239.78

Unit cell a=10.5105 b=9.8302 c=5.7944 alpha=90.00 beta=111.08 gamma=90.00
With the nearest neighbours (Å) after each atom.
Space group C2/c (No. 15)
Unique sites:
Li 0.0000 0.2221 0.2500 [4 per cell]  4 O 1.97-2.07
Ge 0.1958 0.4194 0.7067 [8 per cell]  4 O 1.75-1.80
Pb 0.0000 0.1234 0.7500 [4 per cell]  6 O 2.29-2.48
O 0.1209 0.0778 0.1696 [8 per cell]  1 Ge 1.80
O 0.1218 0.2627 0.5901 [8 per cell]  1 Ge 1.75
O 0.1420 0.4581 0.9612 [8 per cell]  2 Ge 1.79-1.80



# 11
Material: TbH2Pt
Method: DFT, PBE-GGA
State: optimized geometry

Computed properties:
Excess energy over the best structure of this formula in the dataset in meV per atom: 0.0
VASP energy in eV for the cell shown: -40.21

Unit cell a=3.7624 b=4.3042 c=6.3175 alpha=90.00 beta=107.27 gamma=90.00
With the nearest neighbours (Å) after each atom.
Space group P2_1/m (No. 11)
Unique sites:
Tb 0.1495 0.2500 0.2977 [2 per cell]  6 H 2.25-2.47
H 0.0646 0.7500 0.1266 [2 per cell]  2 Pt 1.88
H 0.2489 0.7500 0.4979 [2 per cell]  1 H 2.24, 4 Tb 2.25-2.47
Pt 0.4274 0.2500 0.8579 [2 per cell]  2 H 1.88



# 12
Material: Sr2PaIn3Te6
Method: DFT, PBE-GGA
State: optimized geometry

Computed properties:
Formation energy without anion corrections in eV/atom: -0.893
VASP energy in eV for the cell shown: -101.28

Unit cell a=8.0354 b=13.8364 c=8.4315 alpha=90.00 beta=108.20 gamma=90.00
With the nearest neighbours (Å) after each atom.
Space group C2/m (No. 12)
Unique sites:
Sr 0.0000 0.1659 0.0000 [4 per cell]  6 Te 3.33-3.36
Pa 0.0000 0.5000 0.0000 [2 per cell]  6 Te 3.03-3.06
In 0.0000 0.0000 0.5000 [2 per cell]  6 Te 3.37-3.61
In 0.0000 0.3320 0.5000 [4 per cell]  6 Te 3.34-3.64
Te 0.2248 0.5000 0.7663 [4 per cell]  1 Pa 3.06, 2 In 3.34, 2 Sr 3.36
Te 0.2268 0.3486 0.2257 [8 per cell]  1 Pa 3.03, 2 Sr 3.33-3.34, 2 In 3.37